Compound: ZrCdMo2
Source: Alexandria
Functional: PBE
Structure: optimized geometry

DOS(E_F): 3.7 states/eV/f.u.
Final energy: -7.387 eV/atom

```
ZrCdMo2
1.0
2.662 0.000 0.000
0.000 4.686 0.000
0.000 0.000 5.924
Zr Cd Mo
1 1 2
Direct
0.000 0.000 0.000
0.000 0.000 0.500
0.500 0.500 0.266
0.500 0.500 0.734
```